# Ce4MgGe2, relaxed, DFT PBE-GGA
data_Ce4MgGe2
_chemical_formula_sum 'Ce12 Mg3 Ge6'
_symmetry_space_group_name_H-M 'R -3 m'
_symmetry_Int_Tables_number 166
_symmetry_space_group_name_Hall '-R 3 2"'
_cell_length_a 4.2985
_cell_length_b 4.2985
_cell_length_c 37.6313
_cell_angle_alpha 90.00
_cell_angle_beta 90.00
_cell_angle_gamma 120.00
loop_
_atom_site_label
_atom_site_type_symbol
_atom_site_fract_x
_atom_site_fract_y
_atom_site_fract_z
Ce1 Ce 0.0000 0.0000 0.1064
Ce2 Ce 0.0000 0.0000 0.3130
Mg1 Mg 0.0000 0.0000 0.5000
Ge1 Ge 0.0000 0.0000 0.3981
# VASP energy in eV/atom: -5.16
# DFT formation energy in meV per atom: -226
# Crystal system: trigonal

# Ce2MgGe3, relaxed, DFT PBE-GGA
data_Ce2MgGe3
_chemical_formula_sum 'Ce16 Mg8 Ge24'
_symmetry_space_group_name_H-M 'F m m m'
_symmetry_Int_Tables_number 69
_symmetry_space_group_name_Hall '-F 2 2'
_cell_length_a 8.198
_cell_length_b 8.858
_cell_length_c 15.106
_cell_angle_alpha 90.00
_cell_angle_beta 90.00
_cell_angle_gamma 90.00
loop_
_atom_site_label
_atom_site_type_symbol
_atom_site_fract_x
_atom_site_fract_y
_atom_site_fract_z
Ce1 Ce 0.237 0.000 0.000
Ce2 Ce 0.250 0.250 0.250
Mg1 Mg 0.000 0.000 0.335
Ge1 Ge 0.000 0.000 0.166
Ge2 Ge 0.000 0.248 0.417
# VASP energy in eV/atom: -5.04
# DFT formation energy in meV per atom: -486
# Crystal system: orthorhombic

# Ce3MgGe2, relaxed, DFT PBE-GGA
data_Ce3MgGe2
_chemical_formula_sum 'Ce12 Mg4 Ge8'
_symmetry_space_group_name_H-M 'I b a m'
_symmetry_Int_Tables_number 72
_symmetry_space_group_name_Hall '-I 2 2c'
_cell_length_a 6.287
_cell_length_b 16.081
_cell_length_c 6.060
_cell_angle_alpha 90.00
_cell_angle_beta 90.00
_cell_angle_gamma 90.00
loop_
_atom_site_label
_atom_site_type_symbol
_atom_site_fract_x
_atom_site_fract_y
_atom_site_fract_z
Ce1 Ce 0.000 0.000 0.250
Ce2 Ce 0.248 0.320 0.000
Mg1 Mg 0.000 0.500 0.250
Ge1 Ge 0.240 0.370 0.500
# VASP energy in eV/atom: -5.21
# DFT formation energy in meV per atom: -434
# Crystal system: orthorhombic

# Ce2MgGe2, relaxed, DFT PBE-GGA
data_Ce2MgGe2
_chemical_formula_sum 'Ce4 Mg2 Ge4'
_symmetry_space_group_name_H-M 'P 4/m b m'
_symmetry_Int_Tables_number 127
_symmetry_space_group_name_Hall '-P 4 2ab'
_cell_length_a 7.404
_cell_length_b 7.404
_cell_length_c 4.366
_cell_angle_alpha 90.00
_cell_angle_beta 90.00
_cell_angle_gamma 90.00
loop_
_atom_site_label
_atom_site_type_symbol
_atom_site_fract_x
_atom_site_fract_y
_atom_site_fract_z
Ce1 Ce 0.177 0.323 0.000
Mg1 Mg 0.000 0.000 0.500
Ge1 Ge 0.123 0.623 0.500
# VASP energy in eV/atom: -5.19
# DFT formation energy in meV per atom: -653
# Crystal system: tetragonal

# Ce2MgGeN5, relaxed, DFT PBE-GGA
data_Ce2MgGeN5
_chemical_formula_sum 'Ce8 Mg4 Ge4 N20'
_symmetry_space_group_name_H-M 'C m c 21'
_symmetry_Int_Tables_number 36
_cell_length_a 3.345
_cell_length_b 13.777
_cell_length_c 9.855
_cell_angle_alpha 90.00
_cell_angle_beta 90.00
_cell_angle_gamma 90.00
loop_
_symmetry_equiv_pos_as_xyz
'x,y,z'
'-x,-y,z+1/2'
'-x,y,z'
'x,-y,z+1/2'
'x+1/2,y+1/2,z'
'-x+1/2,-y+1/2,z+1/2'
'-x+1/2,y+1/2,z'
'x+1/2,-y+1/2,z+1/2'
loop_
_atom_site_label
_atom_site_type_symbol
_atom_site_fract_x
_atom_site_fract_y
_atom_site_fract_z
Ce1 Ce 0.000 0.127 0.000
Ce2 Ce 0.000 0.137 0.579
Mg1 Mg 0.000 0.217 0.294
Ge1 Ge 0.000 0.491 0.772
N1 N 0.000 0.061 0.334
N2 N 0.000 0.290 0.952
N3 N 0.000 0.297 0.639
N4 N 0.000 0.374 0.309
N5 N 0.000 0.500 0.080
# VASP energy in eV/atom: -7.38
# Crystal system: orthorhombic

# CeMg2GeN4, relaxed, DFT PBE-GGA
data_CeMg2GeN4
_chemical_formula_sum 'Ce2 Mg4 Ge2 N8'
_symmetry_space_group_name_H-M 'P m n 21'
_symmetry_Int_Tables_number 31
_cell_length_a 7.137
_cell_length_b 5.921
_cell_length_c 5.280
_cell_angle_alpha 90.00
_cell_angle_beta 90.00
_cell_angle_gamma 90.00
loop_
_symmetry_equiv_pos_as_xyz
'x,y,z'
'-x+1/2,-y,z+1/2'
'-x,y,z'
'x+1/2,-y,z+1/2'
loop_
_atom_site_label
_atom_site_type_symbol
_atom_site_fract_x
_atom_site_fract_y
_atom_site_fract_z
Ce1 Ce 0.000 0.156 0.000
Mg1 Mg 0.248 0.338 0.518
Ge1 Ge 0.000 0.818 0.529
N1 N 0.000 0.137 0.456
N2 N 0.000 0.798 0.887
N3 N 0.222 0.679 0.419
# VASP energy in eV/atom: -6.68
# Crystal system: orthorhombic

# CeNdMgGe, relaxed, DFT PBE-GGA
data_CeNdMgGe
_chemical_formula_sum 'Ce4 Nd4 Mg4 Ge4'
_symmetry_space_group_name_H-M 'F -4 3 m'
_symmetry_Int_Tables_number 216
_symmetry_space_group_name_Hall 'F -4 2 3'
_cell_length_a 7.459
_cell_length_b 7.459
_cell_length_c 7.459
_cell_angle_alpha 90.00
_cell_angle_beta 90.00
_cell_angle_gamma 90.00
loop_
_atom_site_label
_atom_site_type_symbol
_atom_site_fract_x
_atom_site_fract_y
_atom_site_fract_z
Ce1 Ce 0.000 0.000 0.000
Nd1 Nd 0.000 0.000 0.500
Mg1 Mg 0.250 0.250 0.750
Ge1 Ge 0.250 0.250 0.250
# VASP energy in eV/atom: -4.53
# DFT formation energy in meV per atom: -301
# Crystal system: cubic

# CeMgNiGe, relaxed, DFT PBE-GGA
data_CeMgNiGe
_chemical_formula_sum 'Ce4 Mg4 Ni4 Ge4'
_symmetry_space_group_name_H-M 'F -4 3 m'
_symmetry_Int_Tables_number 216
_symmetry_space_group_name_Hall 'F -4 2 3'
_cell_length_a 6.747
_cell_length_b 6.747
_cell_length_c 6.747
_cell_angle_alpha 90.00
_cell_angle_beta 90.00
_cell_angle_gamma 90.00
loop_
_atom_site_label
_atom_site_type_symbol
_atom_site_fract_x
_atom_site_fract_y
_atom_site_fract_z
Ce1 Ce 0.000 0.000 0.000
Mg1 Mg 0.000 0.000 0.500
Ni1 Ni 0.250 0.250 0.750
Ge1 Ge 0.250 0.250 0.250
# VASP energy in eV/atom: -4.84
# DFT formation energy in meV per atom: -361
# Crystal system: cubic

# Ce2MgNi3Ge4, relaxed, DFT PBE-GGA
data_Ce2MgNi3Ge4
_chemical_formula_sum 'Ce2 Mg1 Ni3 Ge4'
_symmetry_space_group_name_H-M 'P -4 m 2'
_symmetry_Int_Tables_number 115
_cell_length_a 4.157
_cell_length_b 4.157
_cell_length_c 10.188
_cell_angle_alpha 90.00
_cell_angle_beta 90.00
_cell_angle_gamma 90.00
loop_
_symmetry_equiv_pos_as_xyz
'x,y,z'
'y,-x,-z'
'-x,-y,z'
'-y,x,-z'
'-x,y,z'
'-y,-x,-z'
'x,-y,z'
'y,x,-z'
loop_
_atom_site_label
_atom_site_type_symbol
_atom_site_fract_x
_atom_site_fract_y
_atom_site_fract_z
Ce1 Ce 0.000 0.500 0.236
Mg1 Mg 0.000 0.000 0.500
Ni1 Ni 0.000 0.500 0.882
Ni2 Ni 0.500 0.500 0.500
Ge1 Ge 0.000 0.000 0.000
Ge2 Ge 0.000 0.500 0.652
Ge3 Ge 0.500 0.500 0.000
# VASP energy in eV/atom: -5.56
# DFT formation energy in meV per atom: -637
# Crystal system: tetragonal

# CeMg2NiGe2, relaxed, DFT PBE-GGA
data_CeMg2NiGe2
_chemical_formula_sum 'Ce2 Mg4 Ni2 Ge4'
_symmetry_space_group_name_H-M 'I 4/m m m'
_symmetry_Int_Tables_number 139
_symmetry_space_group_name_Hall '-I 4 2'
_cell_length_a 5.145
_cell_length_b 5.145
_cell_length_c 10.766
_cell_angle_alpha 90.00
_cell_angle_beta 90.00
_cell_angle_gamma 90.00
loop_
_atom_site_label
_atom_site_type_symbol
_atom_site_fract_x
_atom_site_fract_y
_atom_site_fract_z
Ce1 Ce 0.000 0.000 0.000
Mg1 Mg 0.000 0.500 0.250
Ni1 Ni 0.000 0.000 0.500
Ge1 Ge 0.000 0.000 0.295
# VASP energy in eV/atom: -3.99
# DFT formation energy in meV per atom: 33
# Crystal system: tetragonal

# Ce2MgGeOs, relaxed, DFT PBE-GGA
data_Ce2MgGeOs
_chemical_formula_sum 'Ce4 Mg2 Ge2 Os2'
_symmetry_space_group_name_H-M 'P 1 21/m 1'
_symmetry_Int_Tables_number 11
_cell_length_a 7.591
_cell_length_b 4.119
_cell_length_c 8.162
_cell_angle_alpha 90.00
_cell_angle_beta 107.20
_cell_angle_gamma 90.00
loop_
_symmetry_equiv_pos_as_xyz
'x,y,z'
'-x,-y,-z'
'-x,y+1/2,-z'
'x,-y+1/2,z'
loop_
_atom_site_label
_atom_site_type_symbol
_atom_site_fract_x
_atom_site_fract_y
_atom_site_fract_z
Ce1 Ce 0.080 0.250 0.325
Ce2 Ce 0.342 0.750 0.024
Mg1 Mg 0.429 0.750 0.620
Ge1 Ge 0.243 0.250 0.720
Os1 Os 0.045 0.250 0.925
# VASP energy in eV/atom: -6.15
# DFT formation energy in meV per atom: -286
# Crystal system: monoclinic

# Ce2MgGePd6, relaxed, DFT PBE-GGA
data_Ce2MgGePd6
_chemical_formula_sum 'Ce2 Mg1 Ge1 Pd6'
_symmetry_space_group_name_H-M 'P -1'
_symmetry_Int_Tables_number 2
_cell_length_a 5.558
_cell_length_b 6.414
_cell_length_c 6.640
_cell_angle_alpha 85.73
_cell_angle_beta 65.29
_cell_angle_gamma 64.40
loop_
_symmetry_equiv_pos_as_xyz
'x,y,z'
'-x,-y,-z'
loop_
_atom_site_label
_atom_site_type_symbol
_atom_site_fract_x
_atom_site_fract_y
_atom_site_fract_z
Ce1 Ce 0.243 0.258 0.256
Mg1 Mg 0.000 0.000 0.000
Ge1 Ge 0.500 0.500 0.500
Pd1 Pd 0.196 0.313 0.804
Pd2 Pd 0.248 0.936 0.568
Pd3 Pd 0.311 0.686 0.197
# VASP energy in eV/atom: -5.52
# DFT formation energy in meV per atom: -593
# Crystal system: triclinic

Magnetic moment, record by record: 13.17, 15.78, 18.58, 2.98, 0.00, 0.00, 4.59, 0.00, 0.43, 2.30, 0.41, 1.33 μB/cell